Here is a relaxed structure of Pa2BeNbN5 from Alexandria via LeMat-Bulk. Energies are from PBE-GGA.

Results
* final energy: -9.5565 eV/atom
* uncorrected formation energy: -1.288 eV per atom
* size of the total moment: 0.0000 μB/atom

Lattice parameters (Å, degrees): 3.2270 6.8005 9.7939 90.00 90.00 103.73
Closest atoms and distances in Å follow each position.
Sites, in units of the cell vectors:
1 Pa 0.8681 0.7362 0.8097  7 N 2.33-2.53
2 Pa 0.1176 0.2351 0.6921  8 N 2.40-2.56
3 Pa 0.1319 0.2638 0.3097  7 N 2.33-2.53
4 Pa 0.8824 0.7649 0.1921  8 N 2.40-2.56
5 Be 0.5026 0.0053 0.9751  4 N 1.76-1.94
6 Be 0.4974 0.9947 0.4751  4 N 1.76-1.94
7 Nb 0.8077 0.6153 0.5057  6 N 2.08-2.20
8 Nb 0.1923 0.3847 0.0057  6 N 2.08-2.20
9 N 0.3581 0.7163 0.0082  1 Be 1.94
10 N 0.6927 0.3853 0.8553  2 Nb 2.18, 1 Pa 2.36
11 N 0.4940 0.9880 0.7886  1 Be 1.83
12 N 0.2972 0.5943 0.6570  2 Nb 2.20, 3 Pa 2.39-2.40
13 N 0.9642 0.9284 0.5323  2 Be 1.76
14 N 0.6419 0.2837 0.5082  1 Be 1.94
15 N 0.3073 0.6147 0.3553  2 Nb 2.18, 1 Pa 2.36
16 N 0.5060 0.0120 0.2886  1 Be 1.83
17 N 0.7028 0.4057 0.1570  2 Nb 2.20, 3 Pa 2.39-2.40
18 N 0.0358 0.0716 0.0323  2 Be 1.76

=====

Here is a relaxed structure of PmBeNbN3 from Alexandria via LeMat-Bulk. Energies are from PBE-GGA.

Results
* final energy: -8.3801 eV/atom
* uncorrected formation energy: -1.126 eV per atom
* size of the total moment: 0.0001 μB/atom

Lattice parameters (Å, degrees): 3.1786 6.8236 6.8702 104.98 90.00 90.00
Closest atoms and distances in Å follow each position.
Sites, in units of the cell vectors:
1 Pm 0.7500 0.8094 0.7786  7 N 2.42-2.66
2 Pm 0.2500 0.1906 0.2214  7 N 2.42-2.66
3 Be 0.2500 0.0814 0.6008  4 N 1.71-1.83
4 Be 0.7500 0.9186 0.3992  4 N 1.71-1.83
5 Nb 0.2500 0.6606 0.1646  6 N 2.14-2.22
6 Nb 0.7500 0.3394 0.8354  6 N 2.14-2.22
7 N 0.2500 0.8274 0.4738  3 Be 1.73-1.83
8 N 0.7500 0.8819 0.1430  1 Be 1.71
9 N 0.7500 0.4431 0.1626  3 Nb 2.17-2.18
10 N 0.7500 0.1726 0.5262  3 Be 1.73-1.83
11 N 0.2500 0.5569 0.8374  3 Nb 2.17-2.18
12 N 0.2500 0.1181 0.8570  1 Be 1.71